(1)
The following is a DFT calculation (GGA-PBE) of a relaxed structure of NaTlCd3Hg6.

Total magnetization   0.000 μB per atom
Raw total energy   -0.7687 eV/atom
E_form   -0.2 eV/f.u.

abc: 6.8654 6.8654 6.8654
angles: 78.18 101.82 78.18
Positions (direct):
1 Na 0.0944 0.9056 0.0944
2 Tl 0.4910 0.5090 0.4910
3 Cd 0.6029 0.7364 0.0645
4 Cd 0.0645 0.3971 0.2636
5 Cd 0.2636 0.9355 0.6029
6 Hg 0.7160 0.3010 0.0053
7 Hg 0.6990 0.9947 0.7160
8 Hg 0.2527 0.5344 0.9155
9 Hg 0.4656 0.0845 0.2527
10 Hg 0.9155 0.7473 0.4656
11 Hg 0.0053 0.2840 0.6990

(2)
The following is a DFT calculation (GGA-PBE) of a relaxed structure of Nb3Ru3Rh2.

Total magnetization   0.000 μB per atom
Raw total energy   -9.3941 eV/atom
E_form   -2.4 eV/f.u.

abc: 3.8170 3.9538 8.2524
angles: 90.00 90.00 90.00
Positions (direct):
1 Nb 0.5000 0.5000 0.7240
2 Nb 0.5000 0.5000 0.2760
3 Nb 0.5000 0.0000 0.0000
4 Ru 0.5000 0.0000 0.5000
5 Ru 0.0000 0.5000 0.0000
6 Ru 0.0000 0.5000 0.5000
7 Rh 0.0000 0.0000 0.7452
8 Rh 0.0000 0.0000 0.2548

(3)
The following is a DFT calculation (GGA-PBE) of a relaxed structure of ScGa2SnPt.

Total magnetization   0.000 μB per atom
Raw total energy   -3.6216 eV/atom
E_form   4.3 eV/f.u.

abc: 5.0281 5.3764 5.0281
angles: 90.00 90.00 90.00
Positions (direct):
1 Sc 0.0000 0.0000 0.0000
2 Ga 0.0000 0.0000 0.5000
3 Ga 0.5000 0.0000 0.0000
4 Sn 0.0000 0.5000 0.0000
5 Pt 0.5000 0.5000 0.5000

(4)
The following is a DFT calculation (GGA-PBE) of a relaxed structure of BeSb2Ir.

Total magnetization   0.000 μB per atom
Raw total energy   -4.7472 eV/atom

abc: 4.7458 4.7458 3.3968
angles: 90.00 90.00 103.88
Positions (direct):
1 Sb 0.0000 0.0000 0.0000
2 Sb 0.5000 0.5000 0.0000
3 Ir 0.0000 0.5000 0.5000
4 Be 0.5000 0.0000 0.5000